No. 1
Computed, not measured: a geometry-optimized Hf2H2Os structure at the PBE level of DFT.

CIF file:
```
data_Hf2H2Os
_space_group_name_H-M_alt 'P 1'
_space_group_IT_number 1
_cell_length_a 3.1854
_cell_length_b 3.1854
_cell_length_c 6.4446
_cell_angle_alpha 75.69
_cell_angle_beta 75.69
_cell_angle_gamma 90.00
loop_
_space_group_symop_operation_xyz
'x,y,z'
loop_
_atom_site_label
_atom_site_type_symbol
_atom_site_fract_x
_atom_site_fract_y
_atom_site_fract_z
Hf1 Hf 0.3619 0.3619 0.2763
Hf2 Hf 0.6381 0.6381 0.7237
Os1 Os 0.0000 0.0000 0.0000
H1 H 0.7500 0.2500 0.5000
H2 H 0.2500 0.7500 0.5000
```

Computed properties:
Magnetic moment = 0.0 μB per formula unit
DOS at the Fermi energy = 0.514 states/eV/f.u.
Distance to the lowest polymorph of the same formula = 0 meV per atom

No. 2
Computed, not measured: a geometry-optimized Hf2HOs structure at the PBE level of DFT.

CIF file:
```
data_Hf2HOs
_space_group_name_H-M_alt 'P 1'
_space_group_IT_number 1
_cell_length_a 3.2240
_cell_length_b 3.2240
_cell_length_c 6.9455
_cell_angle_alpha 76.58
_cell_angle_beta 76.58
_cell_angle_gamma 60.00
loop_
_space_group_symop_operation_xyz
'x,y,z'
loop_
_atom_site_label
_atom_site_type_symbol
_atom_site_fract_x
_atom_site_fract_y
_atom_site_fract_z
Hf1 Hf 0.2653 0.2653 0.2040
Hf2 Hf 0.7347 0.7347 0.7960
Os1 Os 0.5000 0.5000 0.5000
H1 H 0.0000 0.0000 0.0000
```

Computed properties:
Magnetic moment = 0.0 μB per formula unit
DOS at the Fermi energy = 2.986 states/eV/f.u.
Distance to the lowest polymorph of the same formula = 296 meV per atom

No. 3
Computed, not measured: a geometry-optimized Hf2HOs structure at the PBE level of DFT.

CIF file:
```
data_Hf2HOs
_space_group_name_H-M_alt 'P 1'
_space_group_IT_number 1
_cell_length_a 3.2691
_cell_length_b 6.1830
_cell_length_c 6.9657
_cell_angle_alpha 112.21
_cell_angle_beta 103.59
_cell_angle_gamma 89.97
loop_
_space_group_symop_operation_xyz
'x,y,z'
loop_
_atom_site_label
_atom_site_type_symbol
_atom_site_fract_x
_atom_site_fract_y
_atom_site_fract_z
Hf1 Hf 0.3408 0.0437 0.2565
Hf2 Hf 0.0387 0.5117 0.6524
Hf3 Hf 0.6222 0.0478 0.8185
Hf4 Hf 0.3200 0.5159 0.2144
H1 H 0.2219 0.1745 0.0189
H2 H 0.4391 0.3850 0.4521
Os1 Os 0.7079 0.6888 0.9901
Os2 Os 0.9529 0.8707 0.4808
```

Computed properties:
Magnetic moment = 0.0 μB per formula unit
DOS at the Fermi energy = 2.369 states/eV/f.u.
Distance to the lowest polymorph of the same formula = 0 meV per atom

No. 4
Computed, not measured: a geometry-optimized HfHOs3 structure at the PBE level of DFT.

CIF file:
```
data_HfHOs3
_space_group_name_H-M_alt 'P 1'
_space_group_IT_number 1
_cell_length_a 4.0145
_cell_length_b 4.0145
_cell_length_c 4.0145
_cell_angle_alpha 90.00
_cell_angle_beta 90.00
_cell_angle_gamma 90.00
loop_
_space_group_symop_operation_xyz
'x,y,z'
loop_
_atom_site_label
_atom_site_type_symbol
_atom_site_fract_x
_atom_site_fract_y
_atom_site_fract_z
Hf1 Hf 0.5000 0.5000 0.5000
Os1 Os 0.0000 0.5000 0.0000
Os2 Os 0.0000 0.0000 0.5000
Os3 Os 0.5000 0.0000 0.0000
H1 H 0.0000 0.0000 0.0000
```

Computed properties:
Magnetic moment = 0.0 μB per formula unit
DOS at the Fermi energy = 5.954 states/eV/f.u.
Distance to the lowest polymorph of the same formula = 0 meV per atom

No. 5
Computed, not measured: a geometry-optimized Hf6HOs structure at the PBE level of DFT.

CIF file:
```
data_Hf6HOs
_space_group_name_H-M_alt 'P 1'
_space_group_IT_number 1
_cell_length_a 4.9214
_cell_length_b 5.7836
_cell_length_c 5.7441
_cell_angle_alpha 83.78
_cell_angle_beta 90.15
_cell_angle_gamma 65.72
loop_
_space_group_symop_operation_xyz
'x,y,z'
loop_
_atom_site_label
_atom_site_type_symbol
_atom_site_fract_x
_atom_site_fract_y
_atom_site_fract_z
Hf1 Hf 0.0736 0.3676 0.7733
Hf2 Hf 0.7587 0.9863 0.6448
Hf3 Hf 0.6160 0.2452 0.1210
Hf4 Hf 0.2413 0.0137 0.3552
Hf5 Hf 0.9264 0.6324 0.2267
Hf6 Hf 0.3840 0.7548 0.8790
H1 H 0.0000 0.0000 0.0000
Os1 Os 0.5000 0.5000 0.5000
```

Computed properties:
Magnetic moment = 0.0 μB per formula unit
DOS at the Fermi energy = 6.247 states/eV/f.u.
VASP energy = -0.6981 Ry per atom

No. 6
Computed, not measured: a geometry-optimized Hf2HOsPd structure at the PBE level of DFT.

CIF file:
```
data_Hf2HOsPd
_space_group_name_H-M_alt 'P 1'
_space_group_IT_number 1
_cell_length_a 4.4747
_cell_length_b 4.4747
_cell_length_c 3.6727
_cell_angle_alpha 90.00
_cell_angle_beta 90.00
_cell_angle_gamma 90.00
loop_
_space_group_symop_operation_xyz
'x,y,z'
loop_
_atom_site_label
_atom_site_type_symbol
_atom_site_fract_x
_atom_site_fract_y
_atom_site_fract_z
Hf1 Hf 0.0000 0.5000 0.0000
Hf2 Hf 0.5000 0.0000 0.0000
Os1 Os 0.0000 0.0000 0.5000
Pd1 Pd 0.5000 0.5000 0.5000
H1 H 0.0000 0.0000 0.0000
```

Computed properties:
Magnetic moment = 0.0 μB per formula unit
DOS at the Fermi energy = 3.469 states/eV/f.u.
Distance to the lowest polymorph of the same formula = 0 meV per atom